Compound: FeMoW2
Source: Alexandria via LeMat-Bulk
Functional: GGA-PBEsol
Structure: relaxed

The structure in POSCAR format:
```
FeMoW2
1.0
-1.5651 2.1696 4.2707
1.5651 -2.1696 4.2707
1.5651 2.1696 -4.2707
Fe Mo W
1 1 2
direct
0.0000 0.0000 0.0000 Fe
0.2513 0.7513 0.5000 Mo
0.5005 0.5005 0.0000 W
0.7512 0.2512 0.5000 W
```

ΔE to the lowest computed polymorph = 1.57 kcal/mol of atoms
Final energy = -11.926 eV/atom
Theoretical density = 14.9 g/cm³
Formation enthalpy at 0 K = 0.160 eV/atom
Calculated volume = 14.50 Å³/atom

---

Compound: Ba2CeC3O9F
Source: Alexandria via LeMat-Bulk
Functional: GGA-PBEsol
Structure: relaxed

The structure in POSCAR format:
```
Ba2CeC3O9F
1.0
6.5976 0.0000 0.0000
0.0000 5.0832 0.0000
-2.9203 0.0000 12.6986
Ba Ce C O F
4 2 6 18 2
direct
0.2146 0.2500 0.4251 Ba
0.2747 0.2500 0.0840 Ba
0.7253 0.7500 0.9160 Ba
0.7854 0.7500 0.5749 Ba
0.2273 0.2500 0.7384 Ce
0.7727 0.7500 0.2616 Ce
0.2128 0.7500 0.2268 C
0.2540 0.7500 0.9271 C
0.3322 0.7500 0.6294 C
0.6678 0.2500 0.3706 C
0.7460 0.2500 0.0729 C
0.7872 0.2500 0.7732 C
0.1181 0.5315 0.2371 O
0.1181 0.9685 0.2371 O
0.1349 0.7500 0.9925 O
0.1909 0.7500 0.6852 O
0.3214 0.5292 0.8970 O
0.3214 0.9708 0.8970 O
0.3912 0.7500 0.2022 O
0.4026 0.5278 0.6050 O
0.4026 0.9722 0.6050 O
0.5974 0.0278 0.3950 O
0.5974 0.4722 0.3950 O
0.6088 0.2500 0.7978 O
0.6786 0.0292 0.1030 O
0.6786 0.4708 0.1030 O
0.8091 0.2500 0.3148 O
0.8651 0.2500 0.0075 O
0.8819 0.0315 0.7629 O
0.8819 0.4685 0.7629 O
0.0178 0.7500 0.4276 F
0.9822 0.2500 0.5724 F
```

Final energy = -7.965 eV/atom
Theoretical density = 4.8 g/cm³
Calculated volume = 13.31 Å³/atom
Formation energy (no corrections) = -2.40 eV/atom

---

Compound: Li2RePt
Source: Alexandria via LeMat-Bulk
Functional: GGA-PBEsol
Structure: relaxed

The structure in POSCAR format:
```
Li2RePt
1.0
1.3320 0.7690 8.9704
-1.3320 0.7690 8.9704
0.0000 -1.5381 8.9704
Li Re Pt
2 1 1
direct
0.2471 0.2471 0.2471 Li
0.7529 0.7529 0.7529 Li
0.0000 0.0000 0.0000 Re
0.5000 0.5000 0.5000 Pt
```

ΔE to the lowest computed polymorph = 0.00 kcal/mol of atoms
Final energy = -6.169 eV/atom
Theoretical density = 11.9 g/cm³
Formation enthalpy at 0 K = -0.111 eV/atom
Calculated volume = 13.78 Å³/atom

---

Compound: Be3NbNi
Source: Alexandria via LeMat-Bulk
Functional: GGA-PBEsol
Structure: relaxed

The structure in POSCAR format:
```
Be3NbNi
1.0
4.2659 0.0000 0.0000
0.0000 4.2659 0.0000
0.0000 0.0000 4.2659
Be Nb Ni
3 1 1
direct
0.0000 0.0000 0.5000 Be
0.0000 0.5000 0.0000 Be
0.5000 0.0000 0.0000 Be
0.0000 0.0000 0.0000 Nb
0.5000 0.5000 0.5000 Ni
```

ΔE to the lowest computed polymorph = 39.16 kcal/mol of atoms
Final energy = -3.896 eV/atom
Theoretical density = 3.8 g/cm³
Formation enthalpy at 0 K = 1.900 eV/atom
Calculated volume = 15.53 Å³/atom

---

Compound: KNiSb2
Source: Alexandria via LeMat-Bulk
Functional: GGA-PBEsol
Structure: relaxed

The structure in POSCAR format:
```
KNiSb2
1.0
3.4876 -2.0180 0.0000
3.4876 2.0180 0.0000
-2.3456 0.0000 7.3747
K Ni Sb
1 1 2
direct
0.0000 0.0000 0.0000 K
0.5000 0.5000 0.5000 Ni
0.2156 0.2156 0.6464 Sb
0.7844 0.7844 0.3536 Sb
```

ΔE to the lowest computed polymorph = 0.00 kcal/mol of atoms
Final energy = -4.404 eV/atom
Theoretical density = 5.5 g/cm³
Calculated volume = 25.95 Å³/atom
Formation energy (no corrections) = -0.30 eV/atom

---

Compound: LiAgF4
Source: Alexandria via LeMat-Bulk
Functional: GGA-PBEsol
Structure: relaxed

The structure in POSCAR format:
```
LiAgF4
1.0
5.4338 -2.9491 0.0000
5.4338 2.9491 0.0000
-1.9114 0.0000 4.4908
Li Ag F
2 2 8
direct
0.1721 0.8279 0.7500 Li
0.8279 0.1721 0.2500 Li
0.0000 0.5000 0.0000 Ag
0.5000 0.0000 0.5000 Ag
0.0060 0.2113 0.6758 F
0.2113 0.0060 0.1758 F
0.2365 0.5030 0.8302 F
0.4970 0.7635 0.6698 F
0.5030 0.2365 0.3302 F
0.7635 0.4970 0.1698 F
0.7887 0.9940 0.8242 F
0.9940 0.7887 0.3242 F
```

ΔE to the lowest computed polymorph = 0.00 kcal/mol of atoms
Final energy = -3.890 eV/atom
Theoretical density = 4.4 g/cm³
Calculated volume = 11.99 Å³/atom
Formation energy (no corrections) = -1.73 eV/atom

---

Compound: LiCuPO4
Source: Alexandria via LeMat-Bulk
Functional: GGA-PBEsol
Structure: relaxed

The structure in POSCAR format:
```
LiCuPO4
1.0
0.0000 5.4023 4.7330
2.7516 0.0000 4.7330
2.7516 5.4023 0.0000
Li Cu P O
2 2 2 8
direct
0.0000 0.0000 0.0000 Li
0.2500 0.2500 0.2500 Li
0.6527 0.6527 0.3473 Cu
0.9027 0.9027 0.5973 Cu
0.3018 0.3018 0.6982 P
0.5518 0.5518 0.9482 P
0.1042 0.3014 0.0436 O
0.1737 0.6336 0.6595 O
0.2064 0.6992 0.1458 O
0.3014 0.1042 0.5508 O
0.5905 0.7168 0.0763 O
0.6336 0.1737 0.5332 O
0.6992 0.2064 0.9486 O
0.7168 0.5905 0.6164 O
```

ΔE to the lowest computed polymorph = 0.38 kcal/mol of atoms
Final energy = -6.518 eV/atom
Theoretical density = 3.9 g/cm³
Calculated volume = 10.05 Å³/atom
Formation energy (no corrections) = -1.79 eV/atom

---

Compound: MnAl2Mo
Source: Alexandria via LeMat-Bulk
Functional: GGA-PBEsol
Structure: relaxed

The structure in POSCAR format:
```
MnAl2Mo
1.0
-1.9081 1.9081 3.8734
1.9081 -1.9081 3.8734
1.9081 1.9081 -3.8734
Mn Al Mo
1 2 1
direct
0.0000 0.0000 0.0000 Mn
0.2500 0.7500 0.5000 Al
0.7500 0.2500 0.5000 Al
0.5000 0.5000 0.0000 Mo
```

Final energy = -7.499 eV/atom
Theoretical density = 6.0 g/cm³
Formation enthalpy at 0 K = -0.071 eV/atom
Calculated volume = 14.10 Å³/atom

---

Compound: GaMoAsPb2
Source: Alexandria via LeMat-Bulk
Functional: GGA-PBEsol
Structure: relaxed

The structure in POSCAR format:
```
GaMoAsPb2
1.0
5.3788 0.0000 0.0000
0.0000 5.3788 0.0000
0.0000 0.0000 4.7615
Ga Mo As Pb
1 1 1 2
direct
0.0000 0.0000 0.0000 Ga
0.5000 0.5000 0.5000 Mo
0.5000 0.5000 0.0000 As
0.0000 0.5000 0.5000 Pb
0.5000 0.0000 0.5000 Pb
```

Final energy = -5.150 eV/atom
Theoretical density = 7.9 g/cm³
Formation enthalpy at 0 K = 0.492 eV/atom
Calculated volume = 27.55 Å³/atom

---

Compound: MnCuSeN2
Source: Alexandria via LeMat-Bulk
Functional: GGA-PBEsol
Structure: relaxed

The structure in POSCAR format:
```
MnCuSeN2
1.0
3.8865 0.0000 0.0000
0.0000 3.8865 0.0000
0.0000 0.0000 4.4166
Mn Cu Se N
1 1 1 2
direct
0.0000 0.0000 0.0000 Mn
0.5000 0.5000 0.0000 Cu
0.5000 0.5000 0.5000 Se
0.0000 0.5000 0.5000 N
0.5000 0.0000 0.5000 N
```

ΔE to the lowest computed polymorph = 27.35 kcal/mol of atoms
Final energy = -5.343 eV/atom
Theoretical density = 5.6 g/cm³
Calculated volume = 13.34 Å³/atom
Formation energy (no corrections) = 1.66 eV/atom

---

Compound: Y2ZnRu
Source: Alexandria via LeMat-Bulk
Functional: GGA-PBEsol
Structure: relaxed

The structure in POSCAR format:
```
Y2ZnRu
1.0
2.1341 1.2321 5.9734
-2.1341 1.2321 5.9734
0.0000 -2.4642 5.9734
Y Zn Ru
2 1 1
direct
0.0000 0.0000 0.0000 Y
0.1837 0.1837 0.1837 Y
0.7599 0.7599 0.7599 Zn
0.4251 0.4251 0.4251 Ru
```

Final energy = -6.488 eV/atom
Theoretical density = 6.1 g/cm³
Formation enthalpy at 0 K = -0.138 eV/atom
Calculated volume = 23.56 Å³/atom

---

Compound: YHg2P
Source: Alexandria via LeMat-Bulk
Functional: GGA-PBEsol
Structure: relaxed

The structure in POSCAR format:
```
YHg2P
1.0
4.0454 0.0000 0.0000
0.0000 4.0454 0.0000
0.0000 0.0000 5.2204
Y Hg P
1 2 1
direct
0.0000 0.0000 0.0000 Y
0.0000 0.5000 0.5000 Hg
0.5000 0.0000 0.5000 Hg
0.5000 0.5000 0.0000 P
```

Final energy = -4.013 eV/atom
Theoretical density = 10.1 g/cm³
Formation enthalpy at 0 K = -0.576 eV/atom
Calculated volume = 21.36 Å³/atom

---

Compound: Mg2ZnPb
Source: Alexandria via LeMat-Bulk
Functional: GGA-PBEsol
Structure: relaxed

The structure in POSCAR format:
```
Mg2ZnPb
1.0
1.6662 0.9620 9.1999
-1.6662 0.9620 9.1999
0.0000 -1.9240 9.1999
Mg Zn Pb
2 1 1
direct
0.2409 0.2409 0.2409 Mg
0.7591 0.7591 0.7591 Mg
0.5000 0.5000 0.5000 Zn
0.0000 0.0000 0.0000 Pb
```

Final energy = -2.248 eV/atom
Theoretical density = 6.0 g/cm³
Formation enthalpy at 0 K = 0.005 eV/atom
Calculated volume = 22.12 Å³/atom

---

Compound: Ag2PPt
Source: Alexandria via LeMat-Bulk
Functional: GGA-PBEsol
Structure: relaxed

The structure in POSCAR format:
```
Ag2PPt
1.0
3.1136 0.0000 0.0000
0.0000 3.1136 0.0000
0.0000 0.0000 6.6123
Ag P Pt
2 1 1
direct
0.0000 0.0000 0.0000 Ag
0.5000 0.5000 0.2685 Ag
0.0000 0.0000 0.5568 P
0.5000 0.5000 0.7120 Pt
```

Final energy = -4.875 eV/atom
Theoretical density = 11.4 g/cm³
Formation enthalpy at 0 K = -0.031 eV/atom
Calculated volume = 16.03 Å³/atom

---

Compound: TcP2WO
Source: Alexandria via LeMat-Bulk
Functional: GGA-PBEsol
Structure: relaxed

The structure in POSCAR format:
```
TcP2WO
1.0
4.7474 0.0000 0.0000
0.0000 4.7474 0.0000
0.0000 0.0000 3.6868
Tc P W O
1 2 1 1
direct
0.0000 0.0000 0.0000 Tc
0.0000 0.5000 0.5000 P
0.5000 0.0000 0.5000 P
0.5000 0.5000 0.5000 W
0.5000 0.5000 0.0000 O
```

Final energy = -8.090 eV/atom
Theoretical density = 7.2 g/cm³
Calculated volume = 16.62 Å³/atom
Formation energy (no corrections) = 0.29 eV/atom

---

Compound: ErB4Rh4
Source: Alexandria via LeMat-Bulk
Functional: GGA-PBEsol
Structure: relaxed

The structure in POSCAR format:
```
ErB4Rh4
1.0
-3.7176 3.7176 7.3620
3.7176 -3.7176 7.3620
3.7176 3.7176 -7.3620
Er B Rh
4 16 16
direct
0.1250 0.3750 0.7500 Er
0.3750 0.1250 0.2500 Er
0.6250 0.8750 0.7500 Er
0.8750 0.6250 0.2500 Er
0.0666 0.1265 0.2801 B
0.1265 0.3463 0.0599 B
0.1537 0.3735 0.4401 B
0.2136 0.9334 0.5599 B
0.2864 0.8463 0.7199 B
0.3463 0.7864 0.2199 B
0.3735 0.4334 0.2199 B
0.4334 0.7136 0.0599 B
0.5666 0.2864 0.9401 B
0.6265 0.5666 0.7801 B
0.6537 0.2136 0.7801 B
0.7136 0.1537 0.2801 B
0.7864 0.0666 0.4401 B
0.8463 0.6265 0.5599 B
0.8735 0.6537 0.9401 B
0.9334 0.8735 0.7199 B
0.0368 0.8227 0.9816 Rh
0.0551 0.0368 0.7140 Rh
0.1589 0.6773 0.7140 Rh
0.1773 0.6589 0.2140 Rh
0.3227 0.5368 0.4816 Rh
0.3411 0.0551 0.5184 Rh
0.4449 0.1589 0.9816 Rh
0.4632 0.4449 0.7860 Rh
0.5368 0.5551 0.2140 Rh
0.5551 0.8411 0.0184 Rh
0.6589 0.9449 0.4816 Rh
0.6773 0.4632 0.5184 Rh
0.8227 0.3411 0.7860 Rh
0.8411 0.3227 0.2860 Rh
0.9449 0.9632 0.2860 Rh
0.9632 0.1773 0.0184 Rh
```

ΔE to the lowest computed polymorph = 0.16 kcal/mol of atoms
Final energy = -7.924 eV/atom
Theoretical density = 10.2 g/cm³
Formation enthalpy at 0 K = -0.641 eV/atom
Calculated volume = 11.30 Å³/atom

---

Compound: TeSe2Cl
Source: Alexandria via LeMat-Bulk
Functional: GGA-PBEsol
Structure: relaxed

The structure in POSCAR format:
```
TeSe2Cl
1.0
0.0000 3.4722 3.4722
3.4722 0.0000 3.4722
3.4722 3.4722 0.0000
Te Se Cl
1 2 1
direct
0.0000 0.0000 0.0000 Te
0.5000 0.5000 0.5000 Se
0.7500 0.7500 0.7500 Se
0.2500 0.2500 0.2500 Cl
```

ΔE to the lowest computed polymorph = 6.48 kcal/mol of atoms
Final energy = -3.019 eV/atom
Theoretical density = 6.4 g/cm³
Calculated volume = 20.93 Å³/atom
Formation energy (no corrections) = 0.29 eV/atom

---

Compound: MgTa3F
Source: Alexandria via LeMat-Bulk
Functional: GGA-PBEsol
Structure: relaxed

The structure in POSCAR format:
```
MgTa3F
1.0
4.3141 0.0000 0.0000
0.0000 4.3141 0.0000
0.0000 0.0000 4.3141
Mg Ta F
1 3 1
direct
0.0000 0.0000 0.0000 Mg
0.0000 0.5000 0.5000 Ta
0.5000 0.0000 0.5000 Ta
0.5000 0.5000 0.0000 Ta
0.5000 0.5000 0.5000 F
```

Final energy = -8.019 eV/atom
Theoretical density = 12.1 g/cm³
Calculated volume = 16.06 Å³/atom
Formation energy (no corrections) = 0.24 eV/atom

---

Compound: Sr2HgPt
Source: Alexandria via LeMat-Bulk
Functional: GGA-PBEsol
Structure: relaxed

The structure in POSCAR format:
```
Sr2HgPt
1.0
4.5974 0.0000 0.0000
0.0000 2.1686 5.7165
0.0000 -2.1686 5.7165
Sr Hg Pt
2 1 1
direct
0.0000 0.0000 0.0000 Sr
0.5000 0.2820 0.2820 Sr
0.0000 0.7100 0.7100 Hg
0.5000 0.5651 0.5651 Pt
```

Final energy = -3.435 eV/atom
Theoretical density = 8.3 g/cm³
Formation enthalpy at 0 K = -0.632 eV/atom
Calculated volume = 28.50 Å³/atom

---

Compound: BaTl2In
Source: Alexandria via LeMat-Bulk
Functional: GGA-PBEsol
Structure: relaxed

The structure in POSCAR format:
```
BaTl2In
1.0
3.9451 0.0000 0.0000
0.0000 3.9451 0.0000
0.0000 0.0000 7.8071
Ba Tl In
1 2 1
direct
0.0000 0.0000 0.0000 Ba
0.5000 0.5000 0.2934 Tl
0.5000 0.5000 0.7066 Tl
0.0000 0.0000 0.5000 In
```

Final energy = -2.881 eV/atom
Theoretical density = 9.0 g/cm³
Formation enthalpy at 0 K = -0.283 eV/atom
Calculated volume = 30.38 Å³/atom

---

Compound: Ba2ZnF6
Source: Alexandria via LeMat-Bulk
Functional: GGA-PBEsol
Structure: relaxed

The structure in POSCAR format:
```
Ba2ZnF6
1.0
-2.0597 2.0597 7.9580
2.0597 -2.0597 7.9580
2.0597 2.0597 -7.9580
Ba Zn F
2 1 6
direct
0.1505 0.1505 0.0000 Ba
0.8495 0.8495 0.0000 Ba
0.5000 0.5000 0.0000 Zn
0.0000 0.5000 0.5000 F
0.2500 0.7500 0.5000 F
0.3779 0.3779 0.0000 F
0.5000 0.0000 0.5000 F
0.6221 0.6221 0.0000 F
0.7500 0.2500 0.5000 F
```

Final energy = -5.288 eV/atom
Theoretical density = 5.6 g/cm³
Calculated volume = 15.00 Å³/atom
Formation energy (no corrections) = -3.35 eV/atom

---

Compound: La2MgSc
Source: Alexandria via LeMat-Bulk
Functional: GGA-PBEsol
Structure: relaxed

The structure in POSCAR format:
```
La2MgSc
1.0
-2.4063 2.4063 4.9505
2.4063 -2.4063 4.9505
2.4063 2.4063 -4.9505
La Mg Sc
2 1 1
direct
0.0000 0.0000 0.0000 La
0.7500 0.2500 0.5000 La
0.5000 0.5000 0.0000 Mg
0.2500 0.7500 0.5000 Sc
```

Final energy = -4.703 eV/atom
Theoretical density = 5.0 g/cm³
Formation enthalpy at 0 K = 0.050 eV/atom
Calculated volume = 28.67 Å³/atom

---

Compound: LiZrHg2
Source: Alexandria via LeMat-Bulk
Functional: GGA-PBEsol
Structure: relaxed

The structure in POSCAR format:
```
LiZrHg2
1.0
3.1538 0.0000 0.0000
0.0000 4.9884 0.0000
0.0000 0.0000 5.0524
Li Zr Hg
1 1 2
direct
0.0000 0.0000 0.0000 Li
0.0000 0.5000 0.5412 Zr
0.5000 0.0000 0.4838 Hg
0.5000 0.5000 0.0402 Hg
```

Final energy = -3.360 eV/atom
Theoretical density = 10.4 g/cm³
Formation enthalpy at 0 K = -0.313 eV/atom
Calculated volume = 19.87 Å³/atom

---

Compound: InHg2Cl
Source: Alexandria via LeMat-Bulk
Functional: GGA-PBEsol
Structure: relaxed

The structure in POSCAR format:
```
InHg2Cl
1.0
4.2962 0.0000 0.0000
0.0000 4.2962 0.0000
0.0000 0.0000 5.5182
In Hg Cl
1 2 1
direct
0.0000 0.0000 0.0000 In
0.0000 0.5000 0.5000 Hg
0.5000 0.0000 0.5000 Hg
0.5000 0.5000 0.0000 Cl
```

ΔE to the lowest computed polymorph = 0.49 kcal/mol of atoms
Final energy = -1.834 eV/atom
Theoretical density = 9.0 g/cm³
Calculated volume = 25.46 Å³/atom
Formation energy (no corrections) = -0.30 eV/atom

---

Compound: KFe2Te2
Source: Alexandria via LeMat-Bulk
Functional: GGA-PBEsol
Structure: relaxed

The structure in POSCAR format:
```
KFe2Te2
1.0
-1.8936 1.8936 8.1237
1.8936 -1.8936 8.1237
1.8936 1.8936 -8.1237
K Fe Te
1 2 2
direct
0.0000 0.0000 0.0000 K
0.2500 0.7500 0.5000 Fe
0.7500 0.2500 0.5000 Fe
0.3591 0.3591 0.0000 Te
0.6409 0.6409 0.0000 Te
```

Final energy = -5.467 eV/atom
Theoretical density = 5.8 g/cm³
Calculated volume = 23.30 Å³/atom
Formation energy (no corrections) = -0.24 eV/atom